(1)
The following is a DFT calculation (PBE) of an optimized crystal structure of BS2Br.

Uncorrected formation energy (eV per atom): 0.48

a b c (Å): 3.3165 3.3165 21.5673
angles (deg): 90.00 90.00 120.00
Space group R-3m (No. 166, hexagonal axes)
Unique sites:
B1 0.0000 0.0000 0.0000 [3 per cell]
S1 0.0000 0.0000 0.3849 [6 per cell]
Br1 0.0000 0.0000 0.5000 [3 per cell]


(2)
The following is a DFT calculation (PBE) of an optimized crystal structure of KLaRe.

ΔE_f (meV/atom): 1136

a b c (Å): 5.5211 5.5211 2.7911
angles (deg): 90.00 90.00 120.00
Space group P3m1 (No. 156)
Unique sites:
K1 0.0000 0.0000 0.0000 [1 per cell]
La1 0.6667 0.3333 0.0036 [1 per cell]
Re1 0.3333 0.6667 0.5037 [1 per cell]


(3)
The following is a DFT calculation (PBE) of an optimized crystal structure of CePr6Nd2Sm.

ΔE_f (meV/atom): 223

a b c (Å): 11.567 7.069 9.046
angles (deg): 90.00 104.83 90.00
Space group C2/m (No. 12)
Unique sites:
Ce1 0.000 0.000 0.000 [2 per cell]
Pr1 0.123 0.000 0.413 [4 per cell]
Pr2 0.178 0.263 0.798 [8 per cell]
Nd1 0.088 0.500 0.164 [4 per cell]
Sm1 0.000 0.500 0.500 [2 per cell]


(4)
The following is a DFT calculation (PBE) of an optimized crystal structure of PuTi2V.

ΔE_f (meV/atom): 213

a b c (Å): 4.597 4.597 3.265
angles (deg): 90.00 90.00 90.00
Space group P4/mmm (No. 123)
Unique sites:
Pu1 0.000 0.000 0.000 [1 per cell]
Ti1 0.000 0.500 0.500 [2 per cell]
V1 0.500 0.500 0.000 [1 per cell]